Below is crystalline Nd5Sm4In4 at its relaxed geometry, with properties calculated at the PBE level.

abc: 12.5377 12.5377 5.2193
angles: 90.00 90.00 90.00
With the nearest neighbours (Å) after each atom.
Space group I4/m (No. 87)
Inequivalent atoms, fractional coordinates:
Nd1 0.0000 0.0000 0.0000 [2 per cell]  4 In 3.24
Nd2 0.0968 0.8101 0.5000 [8 per cell]  3 In 3.28-3.29, 2 Sm 3.59
Sm1 0.0949 0.6132 0.0000 [8 per cell]  3 In 3.20-3.38
In1 0.1096 0.2337 0.0000 [8 per cell]  3 Sm 3.20-3.38, 4 Nd 3.24-3.29

## Properties
Energy of formation in meV/atom: -310

Below is crystalline LuCo4Hg at its relaxed geometry, with properties calculated at the PBE level.

abc: 7.0114 7.0114 7.0114
angles: 90.00 90.00 90.00
With the nearest neighbours (Å) after each atom.
Space group F-43m (No. 216)
Inequivalent atoms, fractional coordinates:
Lu1 0.0000 0.0000 0.0000 [4 per cell]  12 Co 2.91, 4 Hg 3.04
Co1 0.1249 0.1249 0.6249 [16 per cell]  6 Co 2.48
Hg1 0.2500 0.2500 0.2500 [4 per cell]  12 Co 2.91, 4 Lu 3.04

## Properties
Energy of formation in meV/atom: -103

Below is crystalline Li2NpInCl8 at its relaxed geometry, with properties calculated at the PBE level.

abc: 6.2029 6.3156 8.0250
angles: 90.50 90.53 94.48
With the nearest neighbours (Å) after each atom.
Space group P-1 (No. 2)
Inequivalent atoms, fractional coordinates:
Li1 0.0007 0.0007 0.2556 [2 per cell]  6 Cl 2.58-2.83
Np1 0.5000 0.5000 0.0000 [1 per cell]  6 Cl 2.67-2.76
In1 0.5000 0.5000 0.5000 [1 per cell]  6 Cl 2.54-2.60
Cl1 0.2007 0.1721 0.0040 [2 per cell]  2 Li 2.58-2.61, 1 Np 2.67
Cl2 0.2137 0.1902 0.5010 [2 per cell]  1 In 2.54, 2 Li 2.59-2.62
Cl3 0.2901 0.6764 0.2627 [2 per cell]  1 In 2.60, 1 Np 2.76, 1 Li 2.83
Cl4 0.2957 0.6825 0.7369 [2 per cell]  1 In 2.60, 1 Np 2.76, 1 Li 2.82

## Properties
ΔE_f (raw) in kJ/mol of formula units: -1733

Below is crystalline Ge2Pd2PtRh at its relaxed geometry, with properties calculated at the PBE level.

abc: 4.0025 7.7362 5.8976
angles: 90.00 90.00 90.00
With the nearest neighbours (Å) after each atom.
Space group Pmc2_1 (No. 26)
Inequivalent atoms, fractional coordinates:
Ge1 0.0000 0.1289 0.0000 [2 per cell]  2 Pt 2.47-2.51, 2 Rh 2.56, 3 Pd 2.59
Ge2 0.5000 0.3602 0.5490 [2 per cell]  4 Pd 2.50-2.59, 1 Rh 2.52, 2 Pt 2.54
Pd1 0.0000 0.4313 0.8124 [2 per cell]  3 Ge 2.59, 2 Pd 2.84
Pd2 0.5000 0.3209 0.1216 [2 per cell]  4 Ge 2.50-2.59
Pt1 0.0000 0.1848 0.4198 [2 per cell]  4 Ge 2.47-2.54
Rh1 0.5000 0.0682 0.7400 [2 per cell]  3 Ge 2.52-2.56

## Properties
Energy of formation in meV/atom: -499